Entry 1:
SiAsIr2: optimized geometry, PBE-GGA.

The space group is R3m (No. 160, hexagonal axes) and the conventional cell measures 2.8712, 2.8712 and 28.9566 Å, with angles of 90.00, 90.00 and 120.00 degrees. Symmetry generates all atoms from Si at (0.0000, 0.0000, 0.0000), As at (0.0000, 0.0000, 0.2103), Ir at (0.0000, 0.0000, 0.4775) and Ir at (0.0000, 0.0000, 0.7297).

The density is 11.75 Mg/m³. The distance to the lowest polymorph of the same formula is 329.4 meV/atom. The density of states at the Fermi level comes out at 9.640 states/eV/cell. Its total magnetic moment is 0.00 μB/f.u. For the raw formation energy, the calculation gives 0.10 eV per atom.


Entry 2:
SiAsIr2: optimized geometry, PBE-GGA.

The space group is P2/m (No. 10) and the conventional cell measures 3.007, 3.713 and 5.671 Å, with angles of 90.00, 103.37 and 90.00 degrees. Symmetry generates all atoms from Si at (0.000, 0.000, 0.000), As at (0.500, 0.000, 0.500) and Ir at (0.120, 0.500, 0.763).

The density is 13.14 Mg/m³. The distance to the lowest polymorph of the same formula is 279.3 meV/atom. The density of states at the Fermi level comes out at 1.278 states/eV/cell. Its total magnetic moment is 0.00 μB/f.u. For the raw formation energy, the calculation gives 0.05 eV per atom.


Entry 3:
Si3AsIr: optimized geometry, PBE-GGA.

The space group is Pm-3m (No. 221) and the conventional cell measures 4.641, 4.641 and 4.641 Å, with angles of 90.00, 90.00 and 90.00 degrees. Symmetry generates all atoms from Si at (0.000, 0.000, 0.500), As at (0.500, 0.500, 0.500) and Ir at (0.000, 0.000, 0.000).

The density is 5.84 Mg/m³. The distance to the lowest polymorph of the same formula is 0.0 meV/atom. The density of states at the Fermi level comes out at 0.660 states/eV/cell. Its total magnetic moment is 0.00 μB/f.u. For the raw formation energy, the calculation gives 0.38 eV per atom.


Entry 4:
SiAs2Ir: optimized geometry, PBE-GGA.

The space group is I-42d (No. 122) and the conventional cell measures 5.565, 5.565 and 11.103 Å, with angles of 90.00, 90.00 and 90.00 degrees. Symmetry generates all atoms from Si at (0.000, 0.000, 0.000), As at (0.245, 0.250, 0.625) and Ir at (0.000, 0.000, 0.500).

The density is 7.15 Mg/m³. The density of states at the Fermi level comes out at 8.296 states/eV/cell. Its total magnetic moment is 0.00 μB/f.u. For the raw formation energy, the calculation gives 0.06 eV per atom.